4
Lattice="-2.675 1.669 1.047 -1.757 -2.820 0.006 2.743 -1.690 9.702" Properties=species:S:1:pos:R:3 comment="K2AsRu PBE-GGA relaxed" formation_energy_ev_per_atom=0.078 pbc="T T T"
Ru 1.590 -0.979 5.622
K -1.295 -1.143 3.784
K 2.497 -1.538 8.832
As -0.366 -1.715 7.069

---

6
Lattice="11.293 0.022 -0.038 -0.728 4.078 -0.002 -2.246 3.805 3.881" Properties=species:S:1:pos:R:3 comment="KAsRu PBE-GGA relaxed" formation_energy_ev_per_atom=-0.389 pbc="T T T"
K 4.430 5.395 3.054
K -0.387 4.429 3.313
Ru 8.980 4.107 0.250
Ru 7.874 6.012 2.197
As 10.533 2.280 0.731
As 7.049 3.760 1.718

---

5
Lattice="-2.365 -2.288 3.908 4.316 0.197 2.727 -1.372 4.564 1.841" Properties=species:S:1:pos:R:3 comment="KAs3Ru PBE-GGA relaxed" de_polymorph_ev_per_atom=2.085 formation_energy_ev_per_atom=2.305 pbc="T T T"
As -1.182 -1.144 1.954
As -0.686 2.282 0.921
As 2.158 0.099 1.363
Ru 0.289 1.237 4.238
K 0.000 0.000 0.000

---

6
Lattice="0.000 3.984 3.984 3.984 0.000 3.984 3.984 3.984 0.000" Properties=species:S:1:pos:R:3 comment="KAs4Ru PBE-GGA relaxed" formation_energy_ev_per_atom=0.565 pbc="T T T"
As 4.991 4.991 2.978
As 2.978 4.991 4.991
As 4.991 2.978 4.991
As 2.978 2.978 2.978
K 5.976 5.976 5.976
Ru 0.000 0.000 0.000

---

4
Lattice="2.896 0.000 0.000 0.000 2.896 0.000 0.000 0.000 10.818" Properties=species:S:1:pos:R:3 comment="K2AsRu PBE-GGA relaxed" formation_energy_ev_per_atom=0.677 pbc="T T T"
Ru 1.448 1.448 2.705
K 0.000 0.000 5.455
K 0.000 0.000 10.772
As 1.448 1.448 8.114

---

3
Lattice="-1.391 -3.402 1.587 -0.038 0.519 -3.969 5.244 -2.309 -0.353" Properties=species:S:1:pos:R:3 comment="KAsRu PBE-GGA relaxed" formation_energy_ev_per_atom=0.014 pbc="T T T"
K 0.746 -2.837 -0.378
Ru 3.719 -2.641 -2.400
As 4.594 -2.023 -0.309

---

6
Lattice="0.000 3.742 3.742 3.742 0.000 3.742 3.742 3.742 0.000" Properties=species:S:1:pos:R:3 comment="KAsRu4 PBE-GGA relaxed" formation_energy_ev_per_atom=0.916 pbc="T T T"
Ru 4.668 4.668 2.816
Ru 4.668 2.816 4.668
Ru 2.816 4.668 4.668
Ru 2.816 2.816 2.816
As 5.613 5.613 5.613
K 0.000 0.000 0.000

---

4
Lattice="5.285 0.000 0.000 0.000 7.292 -0.155 0.000 7.407 4.508" Properties=species:S:1:pos:R:3 comment="K2AsRu PBE-GGA relaxed" formation_energy_ev_per_atom=0.314 pbc="T T T"
K 0.000 5.413 2.195
K 0.000 1.937 -0.019
As 2.642 11.025 3.265
Ru 2.642 3.675 1.088

---

4
Lattice="-2.288 -1.609 3.055 -3.783 -1.477 -0.814 1.830 -9.612 -1.033" Properties=species:S:1:pos:R:3 comment="K2AsRu PBE-GGA relaxed" formation_energy_ev_per_atom=-0.007 pbc="T T T"
K -5.617 -4.011 2.035
K -3.632 -8.597 1.112
Ru -2.603 -5.278 0.827
As -0.579 -4.246 0.080

---

4
Lattice="6.454 -0.022 -0.009 2.745 5.841 0.009 -3.921 -3.982 3.228" Properties=species:S:1:pos:R:3 comment="K2AsRu PBE-GGA relaxed" formation_energy_ev_per_atom=0.116 pbc="T T T"
K 1.903 2.505 1.619
K 8.879 5.616 0.000
As 2.996 -0.907 1.609
Ru 5.299 3.352 0.000

---

5
Lattice="-3.916 0.488 4.909 -4.302 -3.406 -3.093 2.415 -5.276 2.451" Properties=species:S:1:pos:R:3 comment="K3AsRu PBE-GGA relaxed" de_polymorph_ev_per_atom=0.000 formation_energy_ev_per_atom=0.972 pbc="T T T"
Ru -2.902 -4.097 2.133
K -1.958 0.244 2.455
K -2.151 -1.703 -1.547
K 1.207 -2.638 1.225
As 0.000 0.000 0.000

---

4
Lattice="-0.565 4.005 -4.820 3.411 -4.568 -1.383 -1.971 -0.599 -2.856" Properties=species:S:1:pos:R:3 comment="K2AsRu PBE-GGA relaxed" formation_energy_ev_per_atom=0.624 pbc="T T T"
As 1.423 -0.282 -3.102
Ru 0.720 -2.583 -2.119
K -1.268 1.703 -3.838
K 0.000 0.000 0.000

---

5
Lattice="-2.989 -2.815 0.289 1.906 -1.692 3.232 -2.749 6.155 2.222" Properties=species:S:1:pos:R:3 comment="KAs2Ru2 PBE-GGA relaxed" formation_energy_ev_per_atom=-0.409 pbc="T T T"
Ru -3.139 0.543 2.136
Ru -0.692 1.105 3.608
K 0.000 0.000 0.000
As -1.524 -1.088 2.951
As -2.307 2.736 2.793

---

4
Lattice="-2.650 -2.728 -1.164 1.872 0.351 -5.086 4.882 -4.149 -1.392" Properties=species:S:1:pos:R:3 comment="K2AsRu PBE-GGA relaxed" formation_energy_ev_per_atom=0.118 pbc="T T T"
K 0.794 -2.634 -2.429
K 6.282 -3.430 -6.262
As 3.309 -4.189 -4.509
Ru 3.851 -1.968 -4.156

---

4
Lattice="11.351 -0.025 -0.015 10.935 3.045 -0.015 10.935 1.482 2.660" Properties=species:S:1:pos:R:3 comment="K2AsRu PBE-GGA relaxed" formation_energy_ev_per_atom=0.819 pbc="T T T"
K 0.014 0.002 0.001
K 16.597 2.249 1.314
Ru 8.306 1.125 0.658
As 24.917 3.376 1.973

---

5
Lattice="-0.201 -0.725 5.286 -1.691 -5.008 -0.751 5.105 -1.718 -0.041" Properties=species:S:1:pos:R:3 comment="KAs2RuSe PBE-GGA relaxed" de_polymorph_ev_per_atom=2.059 pbc="T T T"
Se 2.553 -0.859 -0.021
As -0.101 -0.362 2.643
As -0.846 -2.504 -0.376
K 0.000 0.000 0.000
Ru 1.606 -3.726 2.247

---

5
Lattice="4.710 0.000 0.000 0.000 4.710 0.000 0.000 0.000 5.755" Properties=species:S:1:pos:R:3 comment="KAs2RuSe PBE-GGA relaxed" de_polymorph_ev_per_atom=0.000 pbc="T T T"
As 2.355 0.000 0.000
As 0.000 2.355 0.000
K 2.355 2.355 2.878
Se 0.000 0.000 2.878
Ru 0.000 0.000 0.000

---

5
Lattice="-0.380 -2.716 -2.885 3.942 0.034 -0.551 -1.078 -3.772 6.439" Properties=species:S:1:pos:R:3 comment="KTcAs2Ru PBE-GGA relaxed" formation_energy_ev_per_atom=-0.302 pbc="T T T"
K 0.000 0.000 0.000
Ru 2.323 -2.540 2.085
Tc 0.162 -3.915 0.918
As 0.501 -3.643 3.363
As 1.983 -2.811 -0.361

---

5
Lattice="4.988 0.000 0.000 0.000 4.988 0.000 0.000 0.000 4.655" Properties=species:S:1:pos:R:3 comment="KZn2AsRu PBE-GGA relaxed" formation_energy_ev_per_atom=-0.117 pbc="T T T"
As 0.000 0.000 2.328
K 2.494 2.494 2.328
Zn 0.000 2.494 0.000
Zn 2.494 0.000 0.000
Ru 0.000 0.000 0.000

---

11
Lattice="4.422 0.000 -1.346 -1.392 8.056 -4.575 1.054 1.211 11.402" Properties=species:S:1:pos:R:3 comment="K8AsS2 PBE-GGA relaxed" final_energy_ev_per_atom=-2.56 pbc="T T T"
K 2.714 4.447 0.981
K 1.369 4.819 4.499
K 3.406 7.884 3.254
K 0.678 1.382 2.227
K 2.196 7.444 -0.721
K 1.887 1.822 6.202
K 4.448 7.157 6.679
K -0.365 2.110 -1.198
As 2.211 0.000 -0.673
S 0.585 6.641 1.923
S 3.499 2.626 3.558

---

28
Lattice="9.515 0.000 0.000 0.000 9.515 0.000 0.000 0.000 9.515" Properties=species:S:1:pos:R:3 comment="K3AsS3 PBE-GGA relaxed" final_energy_ev_per_atom=-3.86 pbc="T T T"
S 7.186 6.238 0.413
S 9.102 2.428 8.035
S 6.238 0.413 7.186
S 8.035 9.102 2.428
S 3.277 5.170 7.087
S 2.428 8.035 9.102
S 7.087 3.277 5.170
S 5.170 7.087 3.277
S 0.413 7.186 6.238
S 2.329 1.480 4.345
S 1.480 4.345 2.329
S 4.345 2.329 1.480
K 5.325 8.948 0.567
K 0.608 4.149 5.366
K 5.366 0.608 4.149
K 0.567 5.325 8.948
K 7.868 3.110 1.647
K 6.405 6.405 6.405
K 8.907 8.907 8.907
K 4.191 4.191 4.191
K 4.149 5.366 0.608
K 8.948 0.567 5.325
K 1.647 7.868 3.110
K 3.110 1.647 7.868
As 2.169 2.169 2.169
As 7.346 6.926 2.589
As 2.589 7.346 6.926
As 6.926 2.589 7.346

---

24
Lattice="7.237 0.000 0.649 3.619 6.614 0.325 0.326 0.000 15.354" Properties=species:S:1:pos:R:3 comment="K2AsS3 PBE-GGA relaxed" final_energy_ev_per_atom=-3.97 pbc="T T T"
K 5.669 2.597 5.729
K 5.513 4.017 10.598
K 9.120 5.227 7.339
K 5.664 1.386 14.691
K 9.451 4.017 13.731
K 2.062 1.386 8.989
K 5.518 5.227 1.636
K 1.731 2.597 2.597
S 3.863 1.075 11.840
S 5.675 1.286 8.857
S 8.680 4.522 10.459
S 9.131 5.327 1.505
S 7.482 0.058 12.164
S 3.700 6.556 4.163
S 6.283 4.522 13.870
S 2.502 2.091 5.868
S 4.898 2.091 2.458
S 7.319 5.538 4.488
S 2.051 1.286 14.823
S 5.507 5.327 7.470
As 1.961 0.020 5.377
As 9.221 6.593 10.950
As 5.742 6.593 13.378
As 5.439 0.020 2.949

---

28
Lattice="-2.351 -3.644 -2.946 11.675 -1.330 -4.546 2.585 -9.215 9.335" Properties=species:S:1:pos:R:3 comment="K3AsS3 PBE-GGA relaxed" final_energy_ev_per_atom=-3.82 pbc="T T T"
S 5.364 -9.863 1.564
S 3.083 -4.490 -2.871
S 8.826 -9.700 4.715
S 4.190 -9.375 6.346
S 7.719 -4.814 -4.502
S 2.348 -6.751 4.674
S 11.627 -12.045 0.828
S 6.545 -4.327 0.279
S 9.561 -7.438 -2.831
S 0.282 -2.145 1.016
S 2.529 -6.459 0.110
S 9.379 -7.730 1.733
K 5.979 -2.873 -2.465
K 5.930 -11.316 4.309
K 8.664 -11.029 1.653
K -0.114 -3.092 -2.787
K 9.238 -4.382 -1.519
K 12.023 -11.098 4.630
K 11.022 -9.324 -0.656
K 6.953 -8.140 -0.620
K 2.670 -9.808 3.362
K 4.956 -6.050 2.464
K 0.886 -4.866 2.499
K 3.245 -3.161 0.191
As 9.731 -5.896 -4.570
As 4.121 -6.042 -1.476
As 2.178 -8.294 6.414
As 7.788 -8.148 3.319

---

8
Lattice="-4.115 -6.318 -9.036 11.004 -2.949 -2.949 3.299 -6.666 -4.505" Properties=species:S:1:pos:R:3 comment="K2AsS PBE-GGA relaxed" de_polymorph_ev_per_atom=0.000 pbc="T T T"
K 7.432 -9.111 -8.509
K 6.300 -5.663 -6.049
K 6.128 -12.472 -13.229
K 0.516 -4.621 -5.192
As 0.000 0.000 0.000
As 1.314 -8.809 -9.766
S 8.874 -7.124 -6.723
S 3.445 -4.634 -5.992

---

6
Lattice="-0.895 2.630 -3.014 -3.544 2.045 2.838 3.449 6.895 5.035" Properties=species:S:1:pos:R:3 comment="KAsS PBE-GGA relaxed" final_energy_ev_per_atom=-3.98 pbc="T T T"
As 0.883 5.700 3.531
As 0.970 5.926 0.917
K 0.572 9.428 4.085
K -2.263 4.243 3.201
S -0.791 4.676 0.355
S 2.645 6.950 4.094